Entry 1:
Here is crystalline CaIn2Rh at its relaxed geometry from Alexandria via LeMat-Bulk. Energies are from PBE.

Calculated values
For the total energy, the calculation gives -3.942 eV/atom. As for the crystal system: tetragonal.

Lattice parameters (Å, degrees): 5.2580 5.2580 5.2580 128.71 128.71 75.47
Last column: nearest neighbours and their distance in Å.
Sites, in units of the cell vectors:
Ca (0.7500, 0.2500, 0.5000)  4 Rh 3.08, 8 In 3.08-3.22
In (0.0000, 0.0000, 0.0000)  4 In 3.08, 4 Ca 3.08, 4 Rh 3.22
In (0.2500, 0.7500, 0.5000)  4 In 3.08, 4 Rh 3.08, 4 Ca 3.22
Rh (0.5000, 0.5000, 0.0000)  4 Ca 3.08, 8 In 3.08-3.22

---

Entry 2:
Here is crystalline CaInRh3 at its relaxed geometry from Alexandria via LeMat-Bulk. Energies are from PBE.

Calculated values
The calculation puts the energy above the most stable polymorph in this dataset at 0.000 eV per atom. As for the crystal system: cubic.

Lattice parameters (Å, degrees): 4.9176 4.9176 4.9176 90.00 90.00 90.00
Last column: nearest neighbours and their distance in Å.
Sites, in units of the cell vectors:
Ca (0.5000, 0.5000, 0.5000)  12 Rh 3.48
In (0.0000, 0.0000, 0.0000)  6 Rh 2.46
Rh (0.5000, 0.0000, 0.0000)  2 In 2.46
Rh (0.0000, 0.0000, 0.5000)  2 In 2.46
Rh (0.0000, 0.5000, 0.0000)  2 In 2.46

---

Entry 3:
Here is crystalline CaIn4Rh at its relaxed geometry from Alexandria via LeMat-Bulk. Energies are from PBE.

Calculated values
For the total energy, the calculation gives -3.790 eV/atom. As for the crystal system: orthorhombic.

Lattice parameters (Å, degrees): 4.2826 7.5065 8.7835 90.00 90.00 90.00
Last column: nearest neighbours and their distance in Å.
Sites, in units of the cell vectors:
In (0.5000, 0.6857, 0.4356)  2 Rh 2.84, 1 In 3.01
In (0.5000, 0.9321, 0.7500)  2 Rh 2.90, 4 In 3.11
In (0.0000, 0.0000, 0.5000)  2 Rh 2.63
In (0.5000, 0.6857, 0.0644)  2 Rh 2.84, 1 In 3.01
In (0.0000, 0.0000, 0.0000)  2 Rh 2.63
In (0.5000, 0.3143, 0.5644)  2 Rh 2.84, 1 In 3.01
In (0.5000, 0.3143, 0.9356)  2 Rh 2.84, 1 In 3.01
In (0.5000, 0.0679, 0.2500)  2 Rh 2.90, 4 In 3.11
Ca (0.0000, 0.6000, 0.7500)  1 Rh 3.05, 2 In 3.29
Ca (0.0000, 0.4000, 0.2500)  1 Rh 3.05, 2 In 3.29
Rh (0.0000, 0.1933, 0.7500)  8 In 2.63-2.90
Rh (0.0000, 0.8067, 0.2500)  8 In 2.63-2.90

---

Entry 4:
Here is crystalline CaIn3Rh2 at its relaxed geometry from Alexandria via LeMat-Bulk. Energies are from PBE.

Calculated values
For the total energy, the calculation gives -4.402 eV/atom. As for the crystal system: trigonal.

Lattice parameters (Å, degrees): 6.5540 6.5540 7.8365 65.28 65.28 60.00
Last column: nearest neighbours and their distance in Å.
Sites, in units of the cell vectors:
Ca (0.7696, 0.7696, 0.6912)  3 Rh 2.84
Ca (0.2304, 0.2304, 0.3088)  3 Rh 2.84
In (0.2422, 0.7344, 0.2891)  3 Rh 2.73-2.76
In (0.2656, 0.7578, 0.7109)  3 Rh 2.73-2.76
In (0.7344, 0.7344, 0.2891)  3 Rh 2.73-2.76
In (0.7578, 0.2656, 0.7109)  3 Rh 2.73-2.76
In (0.2656, 0.2656, 0.7109)  3 Rh 2.73-2.76
In (0.7344, 0.2422, 0.2891)  3 Rh 2.73-2.76
Rh (0.5000, 0.5000, 0.0000)  4 In 2.73, 2 Ca 2.84
Rh (0.5000, 0.0000, 0.0000)  4 In 2.73, 2 Ca 2.84
Rh (0.0000, 0.5000, 0.0000)  4 In 2.73, 2 Ca 2.84
Rh (0.0000, 0.0000, 0.0000)  6 In 2.76

---

Entry 5:
Here is crystalline CaIn2Rh at its relaxed geometry from Alexandria via LeMat-Bulk. Energies are from PBE.

Calculated values
For the total energy, the calculation gives -3.771 eV/atom. As for the crystal system: tetragonal.

Lattice parameters (Å, degrees): 4.2887 4.2887 10.8338 78.58 78.58 90.00
Last column: nearest neighbours and their distance in Å.
Sites, in units of the cell vectors:
In (0.0975, 0.6250, 0.2500)  4 In 2.87-3.20, 2 Rh 2.97, 2 Ca 3.05
In (0.6525, 0.1250, 0.2500)  4 In 2.87-3.20, 2 Rh 2.97, 2 Ca 3.05
In (0.3750, 0.3475, 0.7500)  4 In 2.87-3.20, 2 Rh 2.97, 2 Ca 3.05
In (0.8750, 0.9025, 0.7500)  4 In 2.87-3.20, 2 Rh 2.97, 2 Ca 3.05
Rh (0.0000, 0.0000, 0.0000)  4 In 2.97, 4 Ca 3.03
Rh (0.7500, 0.2500, 0.5000)  4 In 2.97, 4 Ca 3.03
Ca (0.5000, 0.5000, 0.0000)  4 Rh 3.03, 4 In 3.05
Ca (0.2500, 0.7500, 0.5000)  4 Rh 3.03, 4 In 3.05

---

Entry 6:
Here is crystalline CaIn2Rh at its relaxed geometry from Alexandria via LeMat-Bulk. Energies are from PBE.

Calculated values
For the total energy, the calculation gives -4.020 eV/atom. As for the crystal system: tetragonal.

Lattice parameters (Å, degrees): 3.4892 3.4892 7.4993 90.00 90.00 90.00
Last column: nearest neighbours and their distance in Å.
Sites, in units of the cell vectors:
In (0.0000, 0.0000, 0.0310)  8 In 3.16-3.49, 1 Rh 3.20, 4 Ca 3.42
In (0.5000, 0.5000, 0.2951)  4 Rh 2.75
Rh (0.0000, 0.0000, 0.4581)  4 In 2.75
Ca (0.5000, 0.5000, 0.7158)  4 Rh 3.13, 5 In 3.15-3.42, 4 Ca 3.49

---

Entry 7:
Here is crystalline Ca2In5Rh3 at its relaxed geometry from Alexandria via LeMat-Bulk. Energies are from PBE.

Calculated values
For the total energy, the calculation gives -4.441 eV/atom. As for the crystal system: orthorhombic.

Lattice parameters (Å, degrees): 4.4632 7.3717 13.4676 90.00 99.54 90.00
Last column: nearest neighbours and their distance in Å.
Sites, in units of the cell vectors:
Rh (0.9537, 0.4976, 0.9075)  5 In 2.70-2.84
Rh (0.2297, 0.1943, 0.4594)  7 In 2.73-2.81
Rh (0.0463, 0.9976, 0.0925)  5 In 2.70-2.84
Rh (0.3900, 0.0257, 0.7800)  6 In 2.72-3.03, 1 Ca 2.88
Rh (0.6100, 0.5257, 0.2200)  6 In 2.72-3.03, 1 Ca 2.88
Rh (0.7703, 0.6943, 0.5406)  7 In 2.73-2.81
Ca (0.1742, 0.7032, 0.3483)  4 Rh 3.10-3.39, 8 In 3.23-3.45
Ca (0.8258, 0.2032, 0.6517)  4 Rh 3.10-3.39, 8 In 3.23-3.45
Ca (0.5255, 0.2817, 0.0510)  3 Rh 2.88-3.11
Ca (0.4745, 0.7817, 0.9490)  3 Rh 2.88-3.11
In (0.7096, 0.9932, 0.4192)  3 Rh 2.73, 1 In 3.01
In (0.1252, 0.2520, 0.2503)  4 Rh 2.81-3.03
In (0.4029, 0.4020, 0.8059)  3 Rh 2.70-2.80
In (0.2935, 0.9018, 0.5871)  4 Rh 2.72-2.78, 1 In 3.01
In (0.5971, 0.9020, 0.1941)  3 Rh 2.70-2.80
In (0.2904, 0.4932, 0.5808)  3 Rh 2.73, 1 In 3.01
In (0.0519, 0.6133, 0.1039)  4 Rh 2.74-2.84
In (0.7065, 0.4018, 0.4129)  4 Rh 2.72-2.78, 1 In 3.01
In (0.8748, 0.7520, 0.7497)  4 Rh 2.81-3.03
In (0.9481, 0.1133, 0.8961)  4 Rh 2.74-2.84

---

Entry 8:
Here is crystalline CaIn5Rh6 at its relaxed geometry from Alexandria via LeMat-Bulk. Energies are from PBE.

Calculated values
For the total energy, the calculation gives -5.447 eV/atom. As for the crystal system: orthorhombic.

Lattice parameters (Å, degrees): 4.6065 6.5218 7.2774 90.00 71.59 90.00
Last column: nearest neighbours and their distance in Å.
Sites, in units of the cell vectors:
In (0.3345, 0.5000, 0.3312)  8 Rh 2.75-2.80
In (0.0000, 0.5000, 0.0000)  8 Rh 2.77-2.86
In (0.6631, 0.0000, 0.6733)  8 Rh 2.82-2.84
In (0.3369, 0.0000, 0.3267)  8 Rh 2.82-2.84
In (0.6655, 0.5000, 0.6688)  8 Rh 2.75-2.80
Rh (0.5000, 0.7360, 0.0000)  6 In 2.76-2.84, 2 Ca 2.88, 1 Rh 3.08
Rh (0.1718, 0.7450, 0.6561)  7 In 2.75-2.86, 1 Ca 2.90
Rh (0.1718, 0.2550, 0.6561)  7 In 2.75-2.86, 1 Ca 2.90
Rh (0.5000, 0.2640, 0.0000)  6 In 2.76-2.84, 2 Ca 2.88, 1 Rh 3.08
Rh (0.8282, 0.2550, 0.3439)  7 In 2.75-2.86, 1 Ca 2.90
Rh (0.8282, 0.7450, 0.3439)  7 In 2.75-2.86, 1 Ca 2.90
Ca (0.0000, 0.0000, 0.0000)  8 Rh 2.88-2.90